Compound: UFeB
Source: the Alexandria database
Functional: PBE
Structure: relaxed

Magnetic moment in μB/atom: 0.000
ΔE_f in eV/atom: 0.580

Cell: 3.742 3.742 6.503 Å, 90.00 90.00 90.00°
Space group I4mm (No. 107)
Inequivalent atoms, fractional coordinates:
1 U 0.000 0.000 0.000
2 Fe 0.000 0.000 0.676
3 B 0.000 0.000 0.371



Compound: MnZnHg2
Source: the Alexandria database
Functional: PBE
Structure: relaxed

Magnetic moment in μB/atom: 0.798
ΔE_f in eV/atom: 0.205

Cell: 3.011 3.011 8.241 Å, 90.00 90.00 90.00°
Space group P4mm (No. 99)
Inequivalent atoms, fractional coordinates:
1 Mn 0.000 0.000 0.000
2 Zn 0.500 0.500 0.188
3 Hg 0.000 0.000 0.447
4 Hg 0.500 0.500 0.760



Compound: TeAu2Br
Source: the Alexandria database
Functional: PBE
Structure: relaxed

Magnetic moment in μB/atom: 0.000
E_tot in eV/atom: -2.874

Cell: 4.536 3.991 6.789 Å, 90.00 92.44 90.00°
Space group Pm (No. 6)
Inequivalent atoms, fractional coordinates:
1 Te 0.000 0.000 0.000
2 Au 0.330 0.500 0.876
3 Au 0.632 0.000 0.684
4 Br 0.583 0.500 0.424